[1]
Entry from Alexandria via LeMat-Bulk: CrTcNi2 at its PBEsol-relaxed geometry (meta-GGA SCAN).

The structure in CIF format:
```
data_CrTcNi2
_chemical_formula_sum 'Cr1 Tc1 Ni2'
_space_group_name_H-M_alt 'P 1'
_space_group_IT_number 1
_space_group_name_Hall 'P 1'
_cell_length_a 4.030
_cell_length_b 4.030
_cell_length_c 4.030
_cell_angle_alpha 60.00
_cell_angle_beta 60.00
_cell_angle_gamma 60.00
loop_
_atom_site_label
_atom_site_type_symbol
_atom_site_fract_x
_atom_site_fract_y
_atom_site_fract_z
_atom_site_occupancy
Cr1 Cr 0.500 0.500 0.500 1
Ni1 Ni 0.000 0.000 0.000 1
Ni2 Ni 0.750 0.750 0.750 1
Tc1 Tc 0.250 0.250 0.250 1
```

Computed properties:
The total energy is -21.336 eV per atom. The calculation puts the energy relative to the elements at 0.1114 eV/atom. The space-group type is F-43m, No. 216.

=====

[2]
Entry from Alexandria via LeMat-Bulk: CrTcNi2 at its PBEsol-relaxed geometry (meta-GGA SCAN).

The structure in CIF format:
```
data_CrTcNi2
_chemical_formula_sum 'Cr1 Tc1 Ni2'
_space_group_name_H-M_alt 'P 1'
_space_group_IT_number 1
_space_group_name_Hall 'P 1'
_cell_length_a 2.500
_cell_length_b 4.069
_cell_length_c 4.480
_cell_angle_alpha 90.00
_cell_angle_beta 89.97
_cell_angle_gamma 90.00
loop_
_atom_site_label
_atom_site_type_symbol
_atom_site_fract_x
_atom_site_fract_y
_atom_site_fract_z
_atom_site_occupancy
Ni1 Ni 0.875 0.000 0.969 1
Ni2 Ni 0.875 0.500 0.274 1
Tc1 Tc 0.375 0.000 0.467 1
Cr1 Cr 0.376 0.500 0.789 1
```

Computed properties:
The total energy is -21.432 eV per atom. The calculation puts the energy relative to the elements at 0.0162 eV/atom. The space-group type is Pmm2, No. 25.

=====

[3]
Entry from Alexandria via LeMat-Bulk: CrTcNi6 at its PBEsol-relaxed geometry (meta-GGA SCAN).

The structure in CIF format:
```
data_CrTcNi6
_chemical_formula_sum 'Cr4 Tc4 Ni24'
_space_group_name_H-M_alt 'P 1'
_space_group_IT_number 1
_space_group_name_Hall 'P 1'
_cell_length_a 6.121
_cell_length_b 6.121
_cell_length_c 9.992
_cell_angle_alpha 90.00
_cell_angle_beta 90.00
_cell_angle_gamma 109.44
loop_
_atom_site_label
_atom_site_type_symbol
_atom_site_fract_x
_atom_site_fract_y
_atom_site_fract_z
_atom_site_occupancy
Cr1 Cr 0.250 0.750 0.000 1
Cr2 Cr 0.750 0.250 0.000 1
Cr3 Cr 0.500 0.500 0.753 1
Cr4 Cr 0.500 0.500 0.247 1
Ni1 Ni 0.250 0.750 0.750 1
Ni2 Ni 0.875 0.624 0.876 1
Ni3 Ni 0.125 0.376 0.876 1
Ni4 Ni 0.750 0.250 0.750 1
Ni5 Ni 0.376 0.125 0.876 1
Ni6 Ni 0.624 0.875 0.876 1
Ni7 Ni 0.500 0.500 0.500 1
Ni8 Ni 0.125 0.375 0.626 1
Ni9 Ni 0.375 0.125 0.626 1
Ni10 Ni 0.250 0.750 0.250 1
Ni11 Ni 0.875 0.625 0.374 1
Ni12 Ni 0.125 0.375 0.374 1
Ni13 Ni 0.750 0.250 0.250 1
Ni14 Ni 0.375 0.125 0.374 1
Ni15 Ni 0.625 0.875 0.374 1
Ni16 Ni 0.500 0.500 0.000 1
Ni17 Ni 0.125 0.376 0.124 1
Ni18 Ni 0.376 0.125 0.124 1
Ni19 Ni 0.000 0.000 0.500 1
Ni20 Ni 0.625 0.875 0.626 1
Ni21 Ni 0.875 0.625 0.626 1
Ni22 Ni 0.000 0.000 0.000 1
Ni23 Ni 0.624 0.875 0.124 1
Ni24 Ni 0.875 0.624 0.124 1
Tc1 Tc 0.250 0.750 0.500 1
Tc2 Tc 0.750 0.250 0.500 1
Tc3 Tc 0.000 0.000 0.753 1
Tc4 Tc 0.000 0.000 0.247 1
```

Computed properties:
The total energy is -18.766 eV per atom. The calculation puts the energy relative to the elements at 0.0442 eV/atom. The space-group type is Cmmm, No. 65.

=====

[4]
Entry from Alexandria via LeMat-Bulk: CrNiTe at its PBEsol-relaxed geometry (meta-GGA SCAN).

The structure in CIF format:
```
data_CrNiTe
_chemical_formula_sum 'Cr1 Ni1 Te1'
_space_group_name_H-M_alt 'P 1'
_space_group_IT_number 1
_space_group_name_Hall 'P 1'
_cell_length_a 4.160
_cell_length_b 4.160
_cell_length_c 4.160
_cell_angle_alpha 60.00
_cell_angle_beta 60.00
_cell_angle_gamma 60.00
loop_
_atom_site_label
_atom_site_type_symbol
_atom_site_fract_x
_atom_site_fract_y
_atom_site_fract_z
_atom_site_occupancy
Cr1 Cr 0.500 0.500 0.500 1
Ni1 Ni 0.250 0.250 0.250 1
Te1 Te 0.000 0.000 0.000 1
```

Computed properties:
The total energy is -24.102 eV per atom. The space-group type is F-43m, No. 216.

=====

[5]
Entry from Alexandria via LeMat-Bulk: CrNi2Te at its PBEsol-relaxed geometry (meta-GGA SCAN).

The structure in CIF format:
```
data_CrNi2Te
_chemical_formula_sum 'Cr1 Ni2 Te1'
_space_group_name_H-M_alt 'P 1'
_space_group_IT_number 1
_space_group_name_Hall 'P 1'
_cell_length_a 2.987
_cell_length_b 2.987
_cell_length_c 7.814
_cell_angle_alpha 78.98
_cell_angle_beta 78.98
_cell_angle_gamma 60.00
loop_
_atom_site_label
_atom_site_type_symbol
_atom_site_fract_x
_atom_site_fract_y
_atom_site_fract_z
_atom_site_occupancy
Cr1 Cr 0.000 0.000 0.000 1
Ni1 Ni 0.256 0.256 0.232 1
Ni2 Ni 0.744 0.744 0.768 1
Te1 Te 0.500 0.500 0.500 1
```

Computed properties:
The total energy is -21.511 eV per atom. The space-group type is R-3m, No. 166.

=====

[6]
Entry from Alexandria via LeMat-Bulk: CrNiTe at its PBEsol-relaxed geometry (meta-GGA SCAN).

The structure in CIF format:
```
data_CrNiTe
_chemical_formula_sum 'Cr1 Ni1 Te1'
_space_group_name_H-M_alt 'P 1'
_space_group_IT_number 1
_space_group_name_Hall 'P 1'
_cell_length_a 3.496
_cell_length_b 4.054
_cell_length_c 4.054
_cell_angle_alpha 120.00
_cell_angle_beta 90.00
_cell_angle_gamma 90.00
loop_
_atom_site_label
_atom_site_type_symbol
_atom_site_fract_x
_atom_site_fract_y
_atom_site_fract_z
_atom_site_occupancy
Cr1 Cr 0.981 0.000 0.000 1
Ni1 Ni 0.589 0.333 0.667 1
Te1 Te 0.430 0.667 0.333 1
```

Computed properties:
The total energy is -23.897 eV per atom. The space-group type is P3m1, No. 156.

=====

[7]
Entry from Alexandria via LeMat-Bulk: CrNiTe2 at its PBEsol-relaxed geometry (meta-GGA SCAN).

The structure in CIF format:
```
data_CrNiTe2
_chemical_formula_sum 'Cr1 Ni1 Te2'
_space_group_name_H-M_alt 'P 1'
_space_group_IT_number 1
_space_group_name_Hall 'P 1'
_cell_length_a 3.854
_cell_length_b 3.854
_cell_length_c 6.500
_cell_angle_alpha 72.75
_cell_angle_beta 72.75
_cell_angle_gamma 60.00
loop_
_atom_site_label
_atom_site_type_symbol
_atom_site_fract_x
_atom_site_fract_y
_atom_site_fract_z
_atom_site_occupancy
Cr1 Cr 0.000 0.000 0.000 1
Ni1 Ni 0.500 0.500 0.500 1
Te1 Te 0.755 0.755 0.736 1
Te2 Te 0.245 0.245 0.264 1
```

Computed properties:
The total energy is -27.394 eV per atom. The space-group type is R-3m, No. 166.

=====

[8]
Entry from Alexandria via LeMat-Bulk: Y2TiCrNi at its PBEsol-relaxed geometry (meta-GGA SCAN).

The structure in CIF format:
```
data_Y2TiCrNi
_chemical_formula_sum 'Y2 Ti1 Cr1 Ni1'
_space_group_name_H-M_alt 'P 1'
_space_group_IT_number 1
_space_group_name_Hall 'P 1'
_cell_length_a 4.215
_cell_length_b 5.104
_cell_length_c 5.104
_cell_angle_alpha 90.00
_cell_angle_beta 90.00
_cell_angle_gamma 90.00
loop_
_atom_site_label
_atom_site_type_symbol
_atom_site_fract_x
_atom_site_fract_y
_atom_site_fract_z
_atom_site_occupancy
Y1 Y 0.000 0.000 0.500 1
Y2 Y 0.000 0.500 0.000 1
Ni1 Ni 0.500 0.500 0.500 1
Ti1 Ti 0.500 0.000 0.000 1
Cr1 Cr 0.000 0.000 0.000 1
```

Computed properties:
The total energy is -20.495 eV per atom. The calculation puts the energy relative to the elements at 0.7592 eV/atom. The space-group type is P4/mmm, No. 123.

=====

[9]
Entry from Alexandria via LeMat-Bulk: TlCr2Ni at its PBEsol-relaxed geometry (meta-GGA SCAN).

The structure in CIF format:
```
data_TlCr2Ni
_chemical_formula_sum 'Tl1 Cr2 Ni1'
_space_group_name_H-M_alt 'P 1'
_space_group_IT_number 1
_space_group_name_Hall 'P 1'
_cell_length_a 3.039
_cell_length_b 3.039
_cell_length_c 6.033
_cell_angle_alpha 90.00
_cell_angle_beta 90.00
_cell_angle_gamma 90.00
loop_
_atom_site_label
_atom_site_type_symbol
_atom_site_fract_x
_atom_site_fract_y
_atom_site_fract_z
_atom_site_occupancy
Cr1 Cr 0.000 0.000 0.056 1
Cr2 Cr 0.500 0.500 0.234 1
Ni1 Ni 0.000 0.000 0.473 1
Tl1 Tl 0.500 0.500 0.737 1
```

Computed properties:
The total energy is -31.054 eV per atom. The calculation puts the energy relative to the elements at 0.2708 eV/atom. The space-group type is P4mm, No. 99.

=====

[10]
Entry from Alexandria via LeMat-Bulk: TlCrNi at its PBEsol-relaxed geometry (meta-GGA SCAN).

The structure in CIF format:
```
data_TlCrNi
_chemical_formula_sum 'Tl1 Cr1 Ni1'
_space_group_name_H-M_alt 'P 1'
_space_group_IT_number 1
_space_group_name_Hall 'P 1'
_cell_length_a 3.230
_cell_length_b 3.230
_cell_length_c 4.953
_cell_angle_alpha 109.03
_cell_angle_beta 109.03
_cell_angle_gamma 90.00
loop_
_atom_site_label
_atom_site_type_symbol
_atom_site_fract_x
_atom_site_fract_y
_atom_site_fract_z
_atom_site_occupancy
Cr1 Cr 0.983 0.983 0.966 1
Ni1 Ni 0.346 0.346 0.692 1
Tl1 Tl 0.671 0.671 0.342 1
```

Computed properties:
The total energy is -35.313 eV per atom. The calculation puts the energy relative to the elements at 0.3255 eV/atom. The space-group type is I4mm, No. 107.

=====

[11]
Entry from Alexandria via LeMat-Bulk: TlCr2Ni at its PBEsol-relaxed geometry (meta-GGA SCAN).

The structure in CIF format:
```
data_TlCr2Ni
_chemical_formula_sum 'Tl1 Cr2 Ni1'
_space_group_name_H-M_alt 'P 1'
_space_group_IT_number 1
_space_group_name_Hall 'P 1'
_cell_length_a 2.999
_cell_length_b 2.999
_cell_length_c 6.706
_cell_angle_alpha 90.00
_cell_angle_beta 90.00
_cell_angle_gamma 89.97
loop_
_atom_site_label
_atom_site_type_symbol
_atom_site_fract_x
_atom_site_fract_y
_atom_site_fract_z
_atom_site_occupancy
Cr1 Cr 0.000 0.000 0.296 1
Cr2 Cr 0.000 0.000 0.704 1
Ni1 Ni 0.500 0.500 0.500 1
Tl1 Tl 0.500 0.500 0.000 1
```

Computed properties:
The total energy is -31.006 eV per atom. The calculation puts the energy relative to the elements at 0.3190 eV/atom. The space-group type is P4/mmm, No. 123.

=====

[12]
Entry from Alexandria via LeMat-Bulk: TlCrNi2 at its PBEsol-relaxed geometry (meta-GGA SCAN).

The structure in CIF format:
```
data_TlCrNi2
_chemical_formula_sum 'Tl1 Cr1 Ni2'
_space_group_name_H-M_alt 'P 1'
_space_group_IT_number 1
_space_group_name_Hall 'P 1'
_cell_length_a 4.260
_cell_length_b 4.260
_cell_length_c 4.260
_cell_angle_alpha 60.00
_cell_angle_beta 60.00
_cell_angle_gamma 60.00
loop_
_atom_site_label
_atom_site_type_symbol
_atom_site_fract_x
_atom_site_fract_y
_atom_site_fract_z
_atom_site_occupancy
Ni1 Ni 0.250 0.250 0.250 1
Ni2 Ni 0.750 0.750 0.750 1
Tl1 Tl 0.500 0.500 0.500 1
Cr1 Cr 0.000 0.000 0.000 1
```

Computed properties:
The total energy is -30.544 eV per atom. The calculation puts the energy relative to the elements at 0.2284 eV/atom. The space-group type is Fm-3m, No. 225.